[1]
Mn2CuMo: optimized geometry, PBE.

abc: 2.6023 2.6023 25.7740
angles: 90.00 90.00 120.00
Last column: nearest neighbours and their distance in Å.
Space group R3m (No. 160, hexagonal axes)
Inequivalent atoms, fractional coordinates:
Mn 0.0000 0.0000 0.0000  9 Mn 2.39-2.60, 3 Cu 2.61
Mn 0.0000 0.0000 0.2614  9 Mn 2.39-2.60
Cu 0.0000 0.0000 0.7495  6 Cu 2.60, 3 Mn 2.61, 3 Mo 2.78
Mo 0.0000 0.0000 0.5068  6 Mo 2.60, 3 Mn 2.72, 3 Cu 2.78


[2]
Mn2CuMo: optimized geometry, PBE.

abc: 3.8692 3.8692 3.3993
angles: 90.00 90.00 90.00
Last column: nearest neighbours and their distance in Å.
Space group P4/mmm (No. 123)
Inequivalent atoms, fractional coordinates:
Mn 0.0000 0.5000 0.0000  4 Mo 2.58, 4 Cu 2.58, 4 Mn 2.74
Cu 0.0000 0.0000 0.5000  8 Mn 2.58, 4 Mo 2.74
Mo 0.5000 0.5000 0.5000  8 Mn 2.58, 4 Cu 2.74


[3]
Mn2CuMo: optimized geometry, PBE.

abc: 2.6695 2.6695 26.3245
angles: 90.00 90.00 120.00
Last column: nearest neighbours and their distance in Å.
Space group R-3m (No. 166, hexagonal axes)
Inequivalent atoms, fractional coordinates:
Mn 0.0000 0.0000 0.2468  3 Cu 2.61, 6 Mn 2.67, 3 Mo 2.75
Cu 0.0000 0.0000 0.5000  6 Mn 2.61, 6 Cu 2.67
Mo 0.0000 0.0000 0.0000  6 Mo 2.67, 6 Mn 2.75


[4]
Mn2CuMo: optimized geometry, PBE.

abc: 6.6072 6.6072 5.2084
angles: 90.00 90.00 90.00
Last column: nearest neighbours and their distance in Å.
Space group I-42d (No. 122)
Inequivalent atoms, fractional coordinates:
Mn 0.2465 0.2500 0.1250  2 Mo 2.41, 2 Cu 2.44, 2 Mn 2.60
Cu 0.0000 0.0000 0.5000  4 Mn 2.44, 2 Mo 2.60
Mo 0.0000 0.0000 0.0000  4 Mn 2.41, 2 Cu 2.60


[5]
MnCu2Mo: optimized geometry, PBE.

abc: 5.9585 5.9585 5.9585
angles: 90.00 90.00 90.00
Last column: nearest neighbours and their distance in Å.
Space group F-43m (No. 216)
Inequivalent atoms, fractional coordinates:
Mn 0.0000 0.0000 0.0000  4 Mo 2.58, 4 Cu 2.58
Cu 0.0000 0.0000 0.5000  4 Mo 2.58, 4 Cu 2.58
Cu 0.2500 0.2500 0.2500  4 Mn 2.58, 4 Cu 2.58
Mo 0.2500 0.2500 0.7500  4 Mn 2.58, 4 Cu 2.58


[6]
MnCu2Mo: optimized geometry, PBE.

abc: 3.0548 3.0548 5.6334
angles: 90.00 90.00 90.00
Last column: nearest neighbours and their distance in Å.
Space group P4mm (No. 99)
Inequivalent atoms, fractional coordinates:
Mn 0.0000 0.0000 0.0000  4 Mo 2.53, 5 Cu 2.61-2.69
Cu 0.0000 0.0000 0.5229  4 Cu 2.49, 1 Mn 2.69, 4 Mo 2.71
Cu 0.5000 0.5000 0.7414  4 Cu 2.49, 4 Mn 2.61, 1 Mo 2.77
Mo 0.5000 0.5000 0.2327  4 Mn 2.53, 5 Cu 2.71-2.77


[7]
MnCu2Mo: optimized geometry, PBE.

abc: 2.6663 2.6663 26.0326
angles: 90.00 90.00 120.00
Last column: nearest neighbours and their distance in Å.
Space group R3m (No. 160, hexagonal axes)
Inequivalent atoms, fractional coordinates:
Mn 0.0000 0.0000 0.0000  3 Cu 2.59, 6 Mn 2.67, 3 Mo 2.73
Cu 0.0000 0.0000 0.4922  9 Cu 2.57-2.67, 3 Mo 2.75
Cu 0.0000 0.0000 0.7467  9 Cu 2.57-2.67, 3 Mn 2.59
Mo 0.0000 0.0000 0.2466  6 Mo 2.67, 3 Mn 2.73, 3 Cu 2.75


[8]
MnCu2Mo: optimized geometry, PBE.

abc: 5.2953 5.2953 10.4551
angles: 90.00 90.00 90.00
Last column: nearest neighbours and their distance in Å.
Space group I-42d (No. 122)
Inequivalent atoms, fractional coordinates:
Mn 0.0000 0.0000 0.0000  4 Cu 2.21
Cu 0.2242 0.2500 0.1250  2 Mn 2.21, 2 Mo 2.37
Mo 0.0000 0.0000 0.5000  4 Cu 2.37


| no. | energy above the lowest structure with this stoichiometry (meV per atom) | DOS at the Fermi energy (states/eV/f.u.) | formation energy (eV/atom) |
| --- | --- | --- | --- |
| 1 | 122 | 3.237 | 0.28 |
| 2 | 0 | 3.017 | 0.16 |
| 3 | 175 | 3.693 | 0.34 |
| 4 | 514 | 3.250 | 0.68 |
| 5 | 139 | 4.187 | 0.31 |
| 6 | 57 | 4.019 | 0.23 |
| 7 | 88 | 3.545 | 0.26 |
| 8 | 1790 | 4.355 | 1.96 |